# 1
# CsSCl3, optimized geometry, DFT PBE-GGA
# Symmetry: R3m, No. 160
# Fermi-level density of states in states/eV/f.u.: 0.00
# Distance to the lowest polymorph of the same formula in eV per atom: 0.0683
# Formation energy from raw total energies in eV per atom: -0.7666
data_CsSCl3
_chemical_formula_sum 'Cs3 S3 Cl9'
_symmetry_space_group_name_H-M 'P 1'
_symmetry_Int_Tables_number 1
_cell_length_a 7.6411
_cell_length_b 7.6411
_cell_length_c 10.3197
_cell_angle_alpha 90.00
_cell_angle_beta 90.00
_cell_angle_gamma 120.00
loop_
_symmetry_equiv_pos_as_xyz
'x,y,z'
loop_
_atom_site_label
_atom_site_fract_x
_atom_site_fract_y
_atom_site_fract_z
Cs1 0.0000 0.0000 0.0000
Cs2 0.3333 0.6667 0.6667
Cs3 0.6667 0.3333 0.3333
S1 0.0000 0.0000 0.6293
S2 0.3333 0.6667 0.2960
S3 0.6667 0.3333 0.9626
Cl1 0.0102 0.5051 0.9675
Cl2 0.1616 0.3231 0.3009
Cl3 0.1616 0.8384 0.3009
Cl4 0.3436 0.1718 0.6342
Cl5 0.4949 0.5051 0.9675
Cl6 0.4949 0.9898 0.9675
Cl7 0.6769 0.8384 0.3009
Cl8 0.8282 0.1718 0.6342
Cl9 0.8282 0.6564 0.6342



# 2
# Hf2Sc3Tl2, optimized geometry, DFT PBE-GGA
# Symmetry: Cmmm, No. 65
# Fermi-level density of states in states/eV/f.u.: 6.68
# Formation energy in eV/atom: -0.050
data_Hf2Sc3Tl2
_chemical_formula_sum 'Hf4 Sc6 Tl4'
_symmetry_space_group_name_H-M 'P 1'
_symmetry_Int_Tables_number 1
_cell_length_a 4.8047
_cell_length_b 21.6072
_cell_length_c 3.1668
_cell_angle_alpha 90.00
_cell_angle_beta 90.00
_cell_angle_gamma 90.00
loop_
_symmetry_equiv_pos_as_xyz
'x,y,z'
loop_
_atom_site_label
_atom_site_fract_x
_atom_site_fract_y
_atom_site_fract_z
Hf1 0.0000 0.2222 0.0000
Hf2 0.0000 0.7778 0.0000
Hf3 0.5000 0.2778 0.0000
Hf4 0.5000 0.7222 0.0000
Sc1 0.0000 0.3495 0.5000
Sc2 0.0000 0.5000 0.5000
Sc3 0.0000 0.6505 0.5000
Sc4 0.5000 0.0000 0.5000
Sc5 0.5000 0.1505 0.5000
Sc6 0.5000 0.8495 0.5000
Tl1 0.0000 0.0763 0.0000
Tl2 0.0000 0.9237 0.0000
Tl3 0.5000 0.4237 0.0000
Tl4 0.5000 0.5763 0.0000



# 3
# BeTlAu, optimized geometry, DFT PBE-GGA
# Symmetry: I4mm, No. 107
# Fermi-level density of states in states/eV/f.u.: 1.18
# Distance to the lowest polymorph of the same formula in eV per atom: 0.1623
# Formation energy in eV/atom: 0.133
data_BeTlAu
_chemical_formula_sum 'Be2 Tl2 Au2'
_symmetry_space_group_name_H-M 'P 1'
_symmetry_Int_Tables_number 1
_cell_length_a 3.2548
_cell_length_b 3.2548
_cell_length_c 11.6345
_cell_angle_alpha 90.00
_cell_angle_beta 90.00
_cell_angle_gamma 90.00
loop_
_symmetry_equiv_pos_as_xyz
'x,y,z'
loop_
_atom_site_label
_atom_site_fract_x
_atom_site_fract_y
_atom_site_fract_z
Be1 0.0000 0.0000 0.0000
Be2 0.5000 0.5000 0.5000
Tl1 0.0000 0.0000 0.7345
Tl2 0.5000 0.5000 0.2345
Au1 0.0000 0.0000 0.4600
Au2 0.5000 0.5000 0.9600



# 4
# LaMnRu, optimized geometry, DFT PBE-GGA
# Symmetry: P3m1, No. 156
# Fermi-level density of states in states/eV/f.u.: 2.21
# Formation energy in eV/atom: 0.067
data_LaMnRu
_chemical_formula_sum 'La1 Mn1 Ru1'
_symmetry_space_group_name_H-M 'P 1'
_symmetry_Int_Tables_number 1
_cell_length_a 3.9400
_cell_length_b 3.9400
_cell_length_c 4.7278
_cell_angle_alpha 90.00
_cell_angle_beta 90.00
_cell_angle_gamma 120.00
loop_
_symmetry_equiv_pos_as_xyz
'x,y,z'
loop_
_atom_site_label
_atom_site_fract_x
_atom_site_fract_y
_atom_site_fract_z
La1 0.0000 0.0000 0.0000
Mn1 0.3333 0.6667 0.4604
Ru1 0.6667 0.3333 0.5311



Look up the Fermi-level density of states of the fourth one. 2.21 states/eV/f.u.



Which of these has the lowest Fermi-level density of states? CsSCl3